No. 1
LaNiCl2 (PBE, optimized geometry); ΔE to the lowest computed polymorph = 225 meV/atom; uncorrected formation energy = -0.9477 eV/atom; total energy = -4.55 eV/atom; magnetization = 0.97 μB per formula unit; D(E_F) = 1.69 states/eV per cell
1.0
2.2219 -2.8812 0.0000
2.2219 2.8812 0.0000
0.0000 0.0000 7.9976
La Ni Cl
1 1 2
Direct
0.0000 0.0000 0.0000
0.5000 0.5000 0.7743
0.0000 0.0000 0.6533
0.5000 0.5000 0.2328

=====

No. 2
Sm8Ge5Br (PBE, optimized geometry); uncorrected formation energy = -0.8467 eV/atom; total energy = -5.31 eV/atom; magnetization = 0.00 μB per formula unit; D(E_F) = 13.00 states/eV per cell
1.0
-4.5160 4.5160 4.5267
4.5160 -4.5160 4.5267
4.5160 4.5160 -4.5267
Sm Ge Br
8 5 1
Direct
0.1324 0.2377 0.7543
0.1377 0.7553 0.7591
0.2447 0.0038 0.3824
0.4835 0.3781 0.2457
0.6214 0.8623 0.6176
0.6219 0.8676 0.1054
0.7623 0.5165 0.8946
0.9962 0.3786 0.2409
0.0000 0.0000 0.0000
0.2509 0.6283 0.1214
0.3717 0.4931 0.6226
0.5069 0.1295 0.8786
0.8705 0.7491 0.3774
0.7500 0.2500 0.5000

=====

No. 3
SmErZn (PBE, optimized geometry); ΔE to the lowest computed polymorph = 158 meV/atom; total energy = -3.57 eV/atom; magnetization = 0.00 μB per formula unit; D(E_F) = 3.70 states/eV per cell; formation energy = -48 meV/atom
1.0
4.9903 0.0000 0.0000
-2.4952 4.3217 0.0000
0.0000 0.0000 3.7146
Sm Er Zn
1 1 1
Direct
0.0000 0.0000 0.0000
0.3333 0.6667 0.5366
0.6667 0.3333 0.3448

=====

- Among the records above, which one has the highest total energy?
  SmErZn